10
Lattice="-2.479 2.806 -1.730 1.977 -1.347 -5.018 -3.979 -3.845 -0.535" Properties=species:S:1:pos:R:3 comment="Ca2MoRhO6 GGA+U optimized geometry" dft_energy_ev_per_cell=-66.61 volume_a3_per_cell=127 pbc="T T T"
Rh -2.622 -0.762 -3.907
O -2.178 0.624 -2.545
O -4.193 -1.323 -2.816
O -1.177 -0.058 -5.087
O -1.395 -2.150 -3.052
Ca -2.147 -1.744 -0.378
Mo -1.577 1.785 -1.100
Ca 0.830 -0.495 -2.619
O -3.192 -2.005 -5.358
O -0.382 0.432 -0.267